Rb2ZnCo3F12: optimized geometry, GGA+U.

Calculated values
Its space group is R-3m, No. 166. Its magnetic moment is 6.95 Bohr magnetons per cell. The calculation puts the total energy at -4.50 eV per atom.

Geometry as CIF:
```
data_Rb2ZnCo3F12
_chemical_formula_sum 'Rb2 Zn1 Co3 F12'
_cell_length_a 7.286
_cell_length_b 7.286
_cell_length_c 7.286
_cell_angle_alpha 60.36
_cell_angle_beta 60.36
_cell_angle_gamma 60.36
_space_group_name_H-M_alt 'P 1'
_space_group_IT_number 1
_space_group_name_Hall 'P 1'
loop_
_atom_site_label
_atom_site_type_symbol
_atom_site_fract_x
_atom_site_fract_y
_atom_site_fract_z
Rb1 Rb 0.623 0.623 0.623
F1 F 0.667 0.076 0.076
F2 F 0.924 0.924 0.333
F3 F 0.316 0.925 0.316
Co1 Co 0.000 0.500 0.000
Co2 Co 0.000 0.000 0.500
F4 F 0.076 0.667 0.076
F5 F 0.075 0.684 0.684
F6 F 0.316 0.316 0.925
F7 F 0.333 0.924 0.924
Rb2 Rb 0.377 0.377 0.377
F8 F 0.076 0.076 0.667
F9 F 0.924 0.333 0.924
F10 F 0.925 0.316 0.316
Co3 Co 0.500 0.000 0.000
F11 F 0.684 0.075 0.684
F12 F 0.684 0.684 0.075
Zn1 Zn 0.000 0.000 0.000
```